# 1
DFT (PBEsol) results for an optimized crystal structure of La2CdPb.

Values from the calculation:
V, Å³/cell: 118
Fermi-level density of states, states/eV/cell: 3.27
E_form, meV per atom: -490

```
4
Lattice="5.216 0.000 0.000 0.000 5.216 0.000 0.000 0.000 4.326" Properties=species:S:1:pos:R:3 pbc="T T T"
La 0.000 2.608 0.000
La 2.608 0.000 0.000
Cd 0.000 0.000 2.163
Pb 2.608 2.608 2.163
```



# 2
DFT (PBEsol) results for an optimized crystal structure of AlGeN3.

Values from the calculation:
V, Å³/cell: 53
ΔE_f (raw), meV per atom: 1103
Fermi-level density of states, states/eV/cell: 3.34

```
5
Lattice="3.749 0.000 0.000 0.000 3.749 0.000 0.000 0.000 3.749" Properties=species:S:1:pos:R:3 pbc="T T T"
Al 0.000 0.000 0.000
Ge 1.875 1.875 1.875
N 0.000 1.875 1.875
N 1.875 0.000 1.875
N 1.875 1.875 0.000
```



# 3
DFT (PBEsol) results for an optimized crystal structure of AgAu.

Values from the calculation:
V, Å³/cell: 33
Fermi-level density of states, states/eV/cell: 0.60
E_form, meV per atom: -60

```
2
Lattice="2.850 0.000 0.000 0.000 2.850 0.000 0.000 0.000 4.104" Properties=species:S:1:pos:R:3 pbc="T T T"
Ag 0.000 0.000 0.000
Au 1.425 1.425 2.052
```



# 4
DFT (PBEsol) results for an optimized crystal structure of Sc2MnCd.

Values from the calculation:
V, Å³/cell: 77
Fermi-level density of states, states/eV/cell: 4.09
E_form, meV per atom: 42

```
4
Lattice="5.195 -1.559 0.000 5.195 1.559 0.000 -1.523 0.000 4.768" Properties=species:S:1:pos:R:3 pbc="T T T"
Sc 0.000 0.000 0.000
Sc 1.205 0.000 3.104
Mn 7.485 0.000 0.655
Cd 4.010 0.000 2.217
```



# 5
DFT (PBEsol) results for an optimized crystal structure of ZnOsRu2.

Values from the calculation:
V, Å³/cell: 54
Fermi-level density of states, states/eV/cell: 5.04
E_form, meV per atom: 413

```
4
Lattice="0.000 3.008 3.008 3.008 0.000 3.008 3.008 3.008 0.000" Properties=species:S:1:pos:R:3 pbc="T T T"
Zn 0.000 0.000 0.000
Os 1.504 1.504 1.504
Ru 3.008 3.008 3.008
Ru 4.512 4.512 4.512
```



# 6
DFT (PBEsol) results for an optimized crystal structure of Si2MoAu.

Values from the calculation:
Energy above the lowest structure with this stoichiometry, meV per atom: 0
V, Å³/cell: 60
ΔE_f (raw), meV per atom: -36
Fermi-level density of states, states/eV/cell: 2.46

```
4
Lattice="2.831 0.000 0.000 0.000 3.895 0.000 0.000 0.000 5.399" Properties=species:S:1:pos:R:3 pbc="T T T"
Si 0.000 0.000 1.170
Si 0.000 0.000 4.229
Mo 1.416 1.947 0.000
Au 0.000 1.947 2.700
```



# 7
DFT (PBEsol) results for an optimized crystal structure of MgAsIr2.

Values from the calculation:
Energy above the lowest structure with this stoichiometry, meV per atom: 0
V, Å³/cell: 58
Fermi-level density of states, states/eV/cell: 1.32
E_form, meV per atom: -173

```
4
Lattice="4.088 0.000 0.000 0.000 4.088 0.000 0.000 0.000 3.445" Properties=species:S:1:pos:R:3 pbc="T T T"
Mg 0.000 0.000 0.000
As 2.044 2.044 0.000
Ir 0.000 2.044 1.722
Ir 2.044 0.000 1.722
```



# 8
DFT (PBEsol) results for an optimized crystal structure of BeAgAu2.

Values from the calculation:
V, Å³/cell: 59
Fermi-level density of states, states/eV/cell: 1.13
E_form, meV per atom: -69

```
4
Lattice="2.906 0.000 0.000 0.000 2.906 0.000 0.000 0.000 6.929" Properties=species:S:1:pos:R:3 pbc="T T T"
Be 0.000 0.000 0.000
Ag 1.453 1.453 1.531
Au 0.000 0.000 3.526
Au 1.453 1.453 5.619
```



# 9
DFT (PBEsol) results for an optimized crystal structure of LiZn2C.

Values from the calculation:
V, Å³/cell: 167
Fermi-level density of states, states/eV/cell: 1.55
E_form, meV per atom: 651

```
8
Lattice="0.000 4.375 4.375 4.375 0.000 4.375 4.375 4.375 0.000" Properties=species:S:1:pos:R:3 pbc="T T T"
Li 1.094 1.094 1.094
Li 7.656 7.656 7.656
Zn 4.375 2.187 2.187
Zn 2.187 4.375 2.187
Zn 2.187 2.187 4.375
Zn 4.375 4.375 4.375
C 3.281 3.281 3.281
C 5.468 5.468 5.468
```



# 10
DFT (PBEsol) results for an optimized crystal structure of TlTcAs2.

Values from the calculation:
Energy above the lowest structure with this stoichiometry, meV per atom: 281
V, Å³/cell: 212
Fermi-level density of states, states/eV/cell: 3.92
E_form, meV per atom: 303

```
8
Lattice="-2.994 2.994 5.900 2.994 -2.994 5.900 2.994 2.994 -5.900" Properties=species:S:1:pos:R:3 pbc="T T T"
Tl 0.000 0.000 0.000
Tl 0.000 2.994 2.950
Tc 2.994 0.000 2.950
Tc 0.000 0.000 5.900
As 1.497 -1.010 4.425
As 1.984 1.497 1.475
As 1.497 4.004 -1.475
As 1.010 1.497 7.375
```



# 11
DFT (PBEsol) results for an optimized crystal structure of Cd2CuAg.

Values from the calculation:
V, Å³/cell: 67
Fermi-level density of states, states/eV/cell: 1.10
E_form, meV per atom: -10

```
4
Lattice="3.104 0.000 0.000 0.000 3.104 0.000 0.000 0.000 6.947" Properties=species:S:1:pos:R:3 pbc="T T T"
Cd 0.000 0.000 1.598
Cd 0.000 0.000 5.349
Cu 1.552 1.552 0.000
Ag 1.552 1.552 3.473
```



# 12
DFT (PBEsol) results for an optimized crystal structure of Ba5As2S2O12.

Values from the calculation:
V, Å³/cell: 741
ΔE_f (raw), meV per atom: -2256
Fermi-level density of states, states/eV/cell: 0.00

```
42
Lattice="10.508 0.000 0.000 0.000 7.713 0.000 -5.235 0.000 9.149" Properties=species:S:1:pos:R:3 pbc="T T T"
Ba 0.000 0.000 0.000
Ba -4.011 3.856 7.037
Ba 1.166 3.856 2.115
Ba -1.459 0.000 7.064
Ba 3.586 0.000 2.210
Ba 4.938 3.856 0.188
Ba 2.485 1.914 6.117
Ba 2.485 5.799 6.117
Ba 7.737 1.940 2.997
Ba 7.737 5.773 2.997
As 0.072 0.000 3.508
As 4.237 3.856 3.819
As 6.576 0.000 0.372
As 3.534 3.856 8.797
S -2.762 1.928 9.107
S -2.762 5.785 9.107
S -0.440 3.856 5.709
S 5.931 0.000 5.360
O -1.404 0.000 4.401
O -1.645 3.856 4.826
O 0.028 1.391 2.508
O 0.028 6.322 2.508
O -0.436 2.640 6.562
O -0.436 5.073 6.562
O 0.812 3.856 4.886
O 1.449 0.000 4.530
O 3.320 2.473 3.390
O 3.320 5.240 3.390
O 1.412 0.000 7.801
O 5.774 1.385 0.983
O 5.774 6.328 0.983
O 2.007 3.856 7.996
O 4.307 3.856 5.537
O 5.799 3.856 3.107
O 4.562 0.000 5.954
O 5.839 0.000 3.867
O 8.117 0.000 1.136
O 4.364 2.462 8.242
O 4.364 5.251 8.242
O 8.632 3.856 1.359
O 6.673 1.216 5.788
O 6.673 6.497 5.788
```



# 13
DFT (PBEsol) results for an optimized crystal structure of MoPt2Pb.

Values from the calculation:
V, Å³/cell: 67
Fermi-level density of states, states/eV/cell: 2.94
E_form, meV per atom: 210

```
4
Lattice="3.760 0.000 0.000 0.000 4.116 0.000 0.000 0.000 4.342" Properties=species:S:1:pos:R:3 pbc="T T T"
Mo 0.000 0.000 0.000
Pt 0.000 2.058 2.171
Pt 1.880 0.000 2.171
Pb 1.880 2.058 0.000
```



# 14
DFT (PBEsol) results for an optimized crystal structure of NaMgAlIr2.

Values from the calculation:
V, Å³/cell: 89
Fermi-level density of states, states/eV/cell: 1.84
E_form, meV per atom: 1102

```
5
Lattice="4.577 0.000 0.000 0.000 4.577 0.000 0.000 0.000 4.267" Properties=species:S:1:pos:R:3 pbc="T T T"
Na 0.000 0.000 0.000
Mg 0.000 0.000 2.133
Al 2.289 2.289 0.000
Ir 0.000 2.289 2.133
Ir 2.289 0.000 2.133
```



# 15
DFT (PBEsol) results for an optimized crystal structure of TiBe2Pb.

Values from the calculation:
V, Å³/cell: 128
Fermi-level density of states, states/eV/cell: 4.34
E_form, meV per atom: 627

```
8
Lattice="-3.436 3.436 2.716 3.436 -3.436 2.716 3.436 3.436 -2.716" Properties=species:S:1:pos:R:3 pbc="T T T"
Ti 0.000 0.000 0.000
Ti 0.000 3.436 1.358
Be 1.718 -1.703 2.037
Be 1.732 1.718 0.679
Be 1.718 5.139 -0.679
Be 1.703 1.718 3.395
Pb 3.436 0.000 1.358
Pb 0.000 0.000 2.716
```



# 16
DFT (PBEsol) results for an optimized crystal structure of CaB3H5O8.

Values from the calculation:
Energy above the lowest structure with this stoichiometry, meV per atom: 3
V, Å³/cell: 547
Fermi-level density of states, states/eV/cell: 0.00

```
68
Lattice="6.043 0.000 0.000 0.000 11.096 0.000 -3.303 0.000 8.162" Properties=species:S:1:pos:R:3 pbc="T T T"
Ca 0.981 2.257 1.084
Ca -0.671 3.291 5.165
Ca 3.411 7.806 2.997
Ca 1.759 8.839 7.077
B -2.288 0.572 5.917
B -0.636 4.976 1.836
B -1.109 7.880 5.474
B 0.543 8.764 1.394
B -1.175 7.405 7.909
B 0.476 9.239 3.828
B 2.264 1.857 4.333
B 3.915 3.691 0.253
B 2.198 2.332 6.768
B 3.849 3.216 2.687
B 3.377 6.120 6.325
B 5.028 10.524 2.245
H 0.131 6.806 2.458
H -1.520 9.838 6.539
H -0.626 0.318 4.709
H 1.026 5.230 0.628
H -0.007 5.876 4.176
H 1.645 10.768 0.096
H 0.801 0.799 3.353
H -0.850 4.749 7.434
H 0.197 0.368 6.676
H 1.848 5.180 2.596
H 0.892 5.916 5.566
H 2.543 10.729 1.485
H 3.590 6.348 0.728
H 1.939 10.297 4.809
H 1.096 0.328 8.066
H 2.747 5.220 3.985
H 1.714 5.866 7.533
H 3.366 10.778 3.452
H 4.260 1.258 1.623
H 2.609 4.290 5.703
O -2.662 1.632 6.884
O -1.011 3.917 2.803
O -0.700 6.283 2.523
O -2.351 10.361 6.603
O 1.012 8.251 0.218
O -0.639 8.394 4.299
O -1.725 6.116 7.467
O -0.074 10.528 3.386
O -0.905 0.881 5.499
O 0.746 4.668 1.418
O -0.557 8.126 6.710
O 1.094 8.519 2.630
O 1.867 0.136 0.942
O 0.216 5.412 5.023
O 1.233 1.715 3.339
O -0.418 3.833 7.420
O 3.159 7.263 0.742
O 1.507 9.382 4.823
O 2.525 5.684 3.138
O 0.873 10.961 7.219
O 1.646 2.578 5.532
O 3.298 2.971 1.451
O 1.994 6.429 6.743
O 3.645 10.216 2.662
O 2.814 0.568 4.775
O 4.465 4.980 0.695
O 3.379 2.703 3.863
O 1.728 2.845 7.944
O 5.091 0.735 1.558
O 3.440 4.813 5.639
O 3.751 7.180 5.358
O 5.402 9.465 1.278
```



# 17
DFT (PBEsol) results for an optimized crystal structure of CdPb2W.

Values from the calculation:
V, Å³/cell: 89
Fermi-level density of states, states/eV/cell: 3.15
E_form, meV per atom: 936

```
4
Lattice="3.159 0.000 0.000 0.000 5.055 0.000 0.000 0.000 5.546" Properties=species:S:1:pos:R:3 pbc="T T T"
Cd 0.000 0.000 0.000
Pb 0.000 2.528 2.773
Pb 1.580 2.528 0.000
W 1.580 0.000 2.773
```



# 18
DFT (PBEsol) results for an optimized crystal structure of Ba2RuCl.

Values from the calculation:
Energy above the lowest structure with this stoichiometry, meV per atom: 0
V, Å³/cell: 106
ΔE_f (raw), meV per atom: -417
Fermi-level density of states, states/eV/cell: 2.87

```
4
Lattice="3.930 -3.892 0.000 3.930 3.892 0.000 -0.616 0.000 3.480" Properties=species:S:1:pos:R:3 pbc="T T T"
Ba 1.965 1.946 0.000
Ba 1.965 -1.946 0.000
Ru -0.308 0.000 1.740
Cl 3.622 0.000 1.740
```



# 19
DFT (PBEsol) results for an optimized crystal structure of Na2Sc2Re.

Values from the calculation:
V, Å³/cell: 98
Fermi-level density of states, states/eV/cell: 5.68
E_form, meV per atom: 1099

```
5
Lattice="-2.558 2.558 3.742 2.558 -2.558 3.742 2.558 2.558 -3.742" Properties=species:S:1:pos:R:3 pbc="T T T"
Na 0.000 0.000 1.013
Na 0.000 0.000 6.471
Sc 2.558 0.000 1.871
Sc 0.000 2.558 1.871
Re 0.000 0.000 3.742
```



# 20
DFT (PBEsol) results for an optimized crystal structure of Zr5Ag.

Values from the calculation:
Energy above the lowest structure with this stoichiometry, meV per atom: 67
V, Å³/cell: 125
Fermi-level density of states, states/eV/cell: 7.91
E_form, meV per atom: 28

```
6
Lattice="5.167 0.000 0.000 0.000 1.604 7.551 0.000 -1.604 7.551" Properties=species:S:1:pos:R:3 pbc="T T T"
Zr 0.000 0.000 0.000
Zr 0.000 0.000 4.929
Zr 2.584 0.000 2.470
Zr 2.584 0.000 7.495
Zr 2.584 0.000 12.549
Ag 0.000 0.000 10.015
```



# 21
DFT (PBEsol) results for an optimized crystal structure of TcNi2Au.

Values from the calculation:
Energy above the lowest structure with this stoichiometry, meV per atom: 174
V, Å³/cell: 51
Fermi-level density of states, states/eV/cell: 5.31
E_form, meV per atom: 202

```
4
Lattice="-1.911 1.911 3.504 1.911 -1.911 3.504 1.911 1.911 -3.504" Properties=species:S:1:pos:R:3 pbc="T T T"
Tc 0.000 0.000 0.000
Ni 1.911 0.000 1.752
Ni 0.000 1.911 1.752
Au 0.000 0.000 3.504
```



# 22
DFT (PBEsol) results for an optimized crystal structure of CrCd2W.

Values from the calculation:
Energy above the lowest structure with this stoichiometry, meV per atom: 21
V, Å³/cell: 67
Fermi-level density of states, states/eV/cell: 3.21
E_form, meV per atom: 686

```
4
Lattice="4.930 -1.419 0.000 4.930 1.419 0.000 -0.864 0.000 4.773" Properties=species:S:1:pos:R:3 pbc="T T T"
Cr 0.000 0.000 0.000
Cd 1.844 0.000 3.593
Cd 7.152 0.000 1.181
W 4.498 0.000 2.387
```



| no. | E (eV per atom) |
| --- | --- |
| 1 | -4.462 |
| 2 | -5.819 |
| 3 | -3.678 |
| 4 | -6.000 |
| 5 | -8.123 |
| 6 | -6.833 |
| 7 | -6.791 |
| 8 | -3.858 |
| 9 | -3.043 |
| 10 | -5.724 |
| 11 | -2.520 |
| 12 | -6.671 |
| 13 | -7.214 |
| 14 | -4.269 |
| 15 | -4.453 |
| 16 | -6.791 |
| 17 | -4.814 |
| 18 | -4.537 |
| 19 | -4.769 |
| 20 | -8.099 |
| 21 | -6.675 |
| 22 | -5.925 |